(1)
Compound: CaMnZn2
Source: Alexandria via LeMat-Bulk
Functional: PBE
Structure: optimized geometry

a b c (Å): 3.314 3.314 7.101
angles (deg): 90.00 90.00 90.00
Atoms (fractional coordinates):
Ca: 0.000 0.000 0.000
Mn: 0.500 0.500 0.316
Zn: 0.000 0.000 0.489
Zn: 0.500 0.500 0.701

total magnetic moment	3.625	μB/f.u.
formation energy from the elements	132	meV/atom

=====

(2)
Compound: SrLaCe
Source: Alexandria via LeMat-Bulk
Functional: PBE
Structure: optimized geometry

a b c (Å): 8.800 8.800 8.800
angles (deg): 155.60 155.60 34.77
Atoms (fractional coordinates):
Sr: 0.000 0.000 0.000
La: 0.686 0.686 0.000
Ce: 0.325 0.325 0.000

total magnetic moment	1.024	μB/f.u.
formation energy from the elements	195	meV/atom
energy relative to the lowest polymorph listed for this composition	0.0	meV per atom